GGA-PBE AcLuMgAg, relaxed; formation energy from the elements = -0.08 eV per atom; calculated density = 7.726 Mg/m³; space-group type = F-43m (216)
1.0
5.455 0.000 0.000
2.728 4.724 0.000
2.728 1.575 4.454
Ac Lu Mg Ag
1 1 1 1
Direct
0.500 0.500 0.500
0.000 0.000 0.000
0.750 0.750 0.750
0.250 0.250 0.250